1.
K3Na3TeP6H6O24 at its PBEsol-relaxed geometry. Source: Alexandria via LeMat-Bulk, functional meta-GGA SCAN.

a b c (Å): 10.5301 10.5301 12.2873
angles (deg): 66.40 66.40 62.82
Last column: nearest neighbours and their distance in Å.
Positions (direct):
Na1 0.7501 0.4592 0.7465  6 O 2.38-2.56
Na2 0.4592 0.7501 0.2465  6 O 2.38-2.56
Na3 0.5408 0.2499 0.7535  6 O 2.38-2.56
Na4 0.2499 0.5408 0.2535  6 O 2.38-2.56
Na5 0.0648 0.9352 0.2500  4 O 2.35-2.45
Na6 0.9352 0.0648 0.7500  4 O 2.35-2.45
O1 0.3710 0.5356 0.3835  1 P 1.49
O2 0.8870 0.2156 0.8806  1 P 1.49
O3 0.8602 0.4795 0.4362  2 P 1.61-1.65
O4 0.9182 0.4891 0.8854  1 H 1.00
O5 0.6241 0.6131 0.8928  1 P 1.49
O6 0.0857 0.2653 0.0620  2 H 1.02-1.06
O7 0.1518 0.9022 0.6040  1 H 1.44, 1 P 1.51
O8 0.1391 0.3436 0.4078  1 P 1.50
O9 0.8261 0.5115 0.1209  1 Te 1.83
O10 0.4644 0.6290 0.1165  1 P 1.49
O11 0.5356 0.3710 0.8835  1 P 1.49
O12 0.7347 0.9143 0.4380  2 H 1.02-1.06
O13 0.5109 0.0818 0.6146  1 H 1.00
O14 0.3444 0.7120 0.9438  2 P 1.62-1.64
O15 0.5205 0.1398 0.0638  2 P 1.61-1.65
O16 0.5115 0.8261 0.6209  1 Te 1.83
O17 0.4795 0.8602 0.9362  2 P 1.61-1.65
O18 0.1739 0.4885 0.8791  1 Te 1.83
O19 0.8609 0.6564 0.5922  1 P 1.50
O20 0.6131 0.6241 0.3928  1 P 1.49
O21 0.0818 0.5109 0.1146  1 H 1.00
O22 0.2880 0.6556 0.5562  2 P 1.62-1.64
O23 0.2102 0.9784 0.9425  2 P 1.62-1.64
O24 0.2653 0.0857 0.5620  2 H 1.02-1.06
O25 0.4885 0.1739 0.3791  1 Te 1.83
O26 0.6564 0.8609 0.0922  1 P 1.50
O27 0.6290 0.4644 0.6165  1 P 1.49
O28 0.7844 0.1130 0.6194  1 P 1.49
O29 0.7898 0.0216 0.0575  2 P 1.62-1.64
O30 0.0436 0.7064 0.3785  1 P 1.49
O31 0.3436 0.1391 0.9078  1 P 1.50
O32 0.8482 0.0978 0.3960  1 H 1.44, 1 P 1.51
O33 0.3759 0.3869 0.1072  1 P 1.49
O34 0.4891 0.9182 0.3854  1 H 1.00
O35 0.0216 0.7898 0.5575  2 P 1.62-1.64
O36 0.7064 0.0436 0.8785  1 P 1.49
O37 0.1130 0.7844 0.1194  1 P 1.49
O38 0.6556 0.2880 0.0562  2 P 1.62-1.64
O39 0.2936 0.9564 0.1215  1 P 1.49
O40 0.2156 0.8870 0.3806  1 P 1.49
O41 0.9564 0.2936 0.6215  1 P 1.49
O42 0.1398 0.5205 0.5638  2 P 1.61-1.65
O43 0.0978 0.8482 0.8960  1 H 1.44, 1 P 1.51
O44 0.9784 0.2102 0.4425  2 P 1.62-1.64
O45 0.9143 0.7347 0.9380  2 H 1.02-1.06
O46 0.3869 0.3759 0.6072  1 P 1.49
O47 0.7120 0.3444 0.4438  2 P 1.62-1.64
O48 0.9022 0.1518 0.1040  1 H 1.44, 1 P 1.51
P1 0.5112 0.3128 0.0196  4 O 1.49-1.65
P2 0.4888 0.6872 0.9804  4 O 1.49-1.65
P3 0.1775 0.8271 0.9835  4 O 1.49-1.62
P4 0.3327 0.9904 0.9844  4 O 1.49-1.64
P5 0.0096 0.6673 0.5156  4 O 1.49-1.64
P6 0.3128 0.5112 0.5196  4 O 1.49-1.65
P7 0.9904 0.3327 0.4844  4 O 1.49-1.64
P8 0.8271 0.1775 0.4835  4 O 1.49-1.62
P9 0.6673 0.0096 0.0156  4 O 1.49-1.64
P10 0.6872 0.4888 0.4804  4 O 1.49-1.65
P11 0.8225 0.1729 0.0165  4 O 1.49-1.62
P12 0.1729 0.8225 0.5165  4 O 1.49-1.62
H1 0.2308 0.1840 0.4991  1 O 1.02
H2 0.8160 0.7692 0.0009  1 O 1.02
H3 0.7692 0.8160 0.5009  1 O 1.02
H4 0.7816 0.9907 0.4266  1 O 1.06
H5 0.1840 0.2308 0.9991  1 O 1.02
H6 0.8082 0.5225 0.9171  1 O 1.00
H7 0.9907 0.7816 0.9266  1 O 1.06
H8 0.4775 0.1918 0.5829  1 O 1.00
H9 0.0093 0.2184 0.0734  1 O 1.06
H10 0.2184 0.0093 0.5734  1 O 1.06
H11 0.1918 0.4775 0.0829  1 O 1.00
H12 0.5225 0.8082 0.4171  1 O 1.00
K1 0.2798 0.1421 0.2623  7 O 2.72-3.01, 1 H 2.92
K2 0.6361 0.3639 0.2500  6 O 2.69-2.80
K3 0.3639 0.6361 0.7500  6 O 2.69-2.80
K4 0.7202 0.8579 0.7377  7 O 2.72-3.01, 1 H 2.92
K5 0.8579 0.7202 0.2377  7 O 2.72-3.01, 1 H 2.92
K6 0.1421 0.2798 0.7623  7 O 2.72-3.01, 1 H 2.92
Te1 0.0000 0.5000 0.0000  4 O 1.83-1.98
Te2 0.5000 0.0000 0.5000  4 O 1.83-1.98

Calculated values
Energy relative to the lowest polymorph listed for this composition (meV/atom): 30
Fermi-level density of states (states/eV/f.u.): 0.00
E_tot (eV per atom): -9.160

***

2.
YTlH3 at its PBEsol-relaxed geometry. Source: Alexandria via LeMat-Bulk, functional meta-GGA SCAN.

a b c (Å): 4.1429 4.1429 4.1429
angles (deg): 90.00 90.00 90.00
Last column: nearest neighbours and their distance in Å.
Positions (direct):
H1 0.0000 0.0000 0.5000  2 Y 2.07
H2 0.0000 0.5000 0.0000  2 Y 2.07
H3 0.5000 0.0000 0.0000  2 Y 2.07
Tl1 0.5000 0.5000 0.5000  12 H 2.93
Y1 0.0000 0.0000 0.0000  6 H 2.07

Calculated values
Fermi-level density of states (states/eV/f.u.): 1.34
E_tot (eV per atom): -22.362

***

3.
GaHI2O at its PBEsol-relaxed geometry. Source: Alexandria via LeMat-Bulk, functional meta-GGA SCAN.

a b c (Å): 3.4123 5.9710 5.9710
angles (deg): 90.00 90.00 90.00
Last column: nearest neighbours and their distance in Å.
Positions (direct):
H1 0.5000 0.5000 0.5000  2 H 3.41, 8 I 3.44
I1 0.0000 0.0000 0.5000  2 Ga 2.99
I2 0.0000 0.5000 0.0000  2 Ga 2.99
O1 0.5000 0.0000 0.0000  2 Ga 1.71
Ga1 0.0000 0.0000 0.0000  2 O 1.71

Calculated values
Fermi-level density of states (states/eV/f.u.): 0.89
E_tot (eV per atom): -19.908

***

4.
ScCrPt at its PBEsol-relaxed geometry. Source: Alexandria via LeMat-Bulk, functional meta-GGA SCAN.

a b c (Å): 4.3223 4.3223 4.3223
angles (deg): 60.00 60.00 60.00
Last column: nearest neighbours and their distance in Å.
Positions (direct):
Sc1 0.7500 0.7500 0.7500  4 Cr 2.65, 4 Pt 2.65
Cr1 0.0000 0.0000 0.0000  4 Sc 2.65
Pt1 0.5000 0.5000 0.5000  4 Sc 2.65

Calculated values
Energy relative to the lowest polymorph listed for this composition (meV/atom): 399
Formation energy (meV per atom): -188
Fermi-level density of states (states/eV/f.u.): 2.00
E_tot (eV per atom): -34.460

***

no.,magnetic moment (μB per cell),volume (Å³/cell)
1,0.15,1070.4
2,0.00,71.1
3,0.85,121.7
4,4.59,57.1